Record 1
{"formula": "Cs2TaF", "functional": "GGA-PBE", "state": "optimized geometry", "cell": [[-4.365, 4.365, 4.867], [4.365, -4.365, 4.867], [4.365, 4.365, -4.867]], "species": ["Cs", "Cs", "Cs", "Cs", "Ta", "Ta", "F", "F"], "frac_coords": [[0.375, 0.771, 0.896], [0.875, 0.479, 0.104], [0.229, 0.125, 0.604], [0.521, 0.625, 0.396], [0.000, 0.000, 0.000], [0.750, 0.250, 0.500], [0.500, 0.500, 0.000], [0.250, 0.750, 0.500]], "spacegroup": "No. 122", "crystal_system": "tetragonal", "magnetic_moment_mub_per_atom": 1.00, "raw_formation_energy_ev_per_atom": 0.272}

***

Record 2
{"formula": "CuSnBr3", "functional": "GGA-PBE", "state": "optimized geometry", "cell": [[-3.309, -0.233, -2.555], [-1.921, -4.375, 6.318], [-1.392, 12.817, 0.632]], "species": ["Cu", "Cu", "Sn", "Sn", "Br", "Br", "Br", "Br", "Br", "Br"], "frac_coords": [[0.974, 0.948, 0.580], [0.026, 0.052, 0.420], [0.647, 0.294, 0.817], [0.353, 0.706, 0.183], [0.435, 0.870, 0.656], [0.565, 0.130, 0.344], [0.884, 0.768, 0.046], [0.116, 0.232, 0.954], [0.157, 0.314, 0.642], [0.843, 0.686, 0.358]], "spacegroup": "No. 12", "crystal_system": "monoclinic", "e_above_lowest_polymorph_ev_per_atom": 0.000, "magnetic_moment_mub_per_atom": 0.00, "raw_formation_energy_ev_per_atom": -0.548}